# 1
This record from Alexandria describes a geometry-optimized Tl2CdGa3Au12 structure. The functional is PBE-GGA.

```
Tl2CdGa3Au12
1.0
4.381 2.529 6.126
-4.381 2.529 6.126
0.000 -5.059 6.126
Tl Cd Ga Au
2 1 3 12
Cartesian
0.000 0.000 1.802
0.000 0.000 16.576
0.000 0.000 9.189
-2.190 -1.265 6.126
-2.190 1.265 12.252
0.000 2.529 6.126
-2.354 -1.359 8.704
0.000 -2.329 5.256
-2.017 1.164 5.256
0.000 -2.718 9.674
-2.354 1.359 9.674
-2.017 -1.164 13.122
2.017 1.164 5.256
2.354 -1.359 8.704
0.000 2.718 8.704
2.017 -1.164 13.122
0.000 2.329 13.122
2.354 1.359 9.674
```

Results
Space-group type: R-3m, No. 166
Mass density: 12.614 g/cm3
E_form: 0.75 eV/f.u.



# 2
This record from Alexandria describes a geometry-optimized MnTlPd5 structure. The functional is PBE-GGA.

```
MnTlPd5
1.0
5.220 0.000 0.000
0.000 6.973 0.000
0.000 0.000 7.368
Mn Tl Pd
2 2 10
Cartesian
0.000 0.000 0.000
2.610 3.487 3.684
0.000 3.487 1.040
2.610 0.000 4.724
0.000 1.300 5.052
0.000 3.487 3.620
0.000 5.674 5.052
1.269 0.000 2.380
1.341 3.487 6.064
2.610 0.000 7.304
2.610 2.187 1.368
2.610 4.786 1.368
3.879 3.487 6.064
3.950 0.000 2.380
```

Results
Space-group type: Imm2, No. 44
Offset from the most stable computed form: 0.305 eV per atom
Mass density: 9.801 g/cm3
E_form: 1.36 eV/f.u.



# 3
This record from Alexandria describes a geometry-optimized PmPaN2 structure. The functional is PBE-GGA.

```
PmPaN2
1.0
3.529 0.000 0.000
-1.764 3.056 0.000
0.000 0.000 18.087
Pm Pa N
3 3 6
Cartesian
0.000 0.000 0.000
0.000 2.037 12.058
1.764 1.019 6.029
0.000 0.000 14.862
0.000 2.037 8.833
1.764 1.019 2.804
0.000 0.000 4.099
0.000 0.000 7.572
0.000 2.037 1.543
0.000 2.037 16.157
1.764 1.019 10.128
1.764 1.019 13.601
```

Results
Space-group type: R3m, No. 160
Offset from the most stable computed form: 0.206 eV per atom
Mass density: 10.320 g/cm3
Formation energy from raw total energies: -1.3921 eV per atom